# Ba3YSn2O9

A geometry-optimized Ba3YSn2O9 structure (PBE, the Alexandria database).

Geometry as POSCAR:
```
Ba3YSn2O9
1.0
-5.647 1.752 1.259
1.185 -2.888 -5.177
-1.275 -6.509 3.339
Y O Ba Sn
1 9 3 2
Direct
0.000 0.000 0.500
0.344 0.172 0.677
0.172 0.828 0.323
0.172 0.344 0.323
0.500 0.500 0.000
0.828 0.172 0.677
0.656 0.828 0.323
0.828 0.656 0.677
0.500 0.000 0.000
0.000 0.500 0.000
0.667 0.333 0.331
0.333 0.667 0.669
0.000 0.000 0.000
0.333 0.667 0.164
0.667 0.333 0.836
```

Output
SG: P-3m1, No. 164
DFT total energy (eV for the cell shown): -100.61
DOS at the Fermi energy (states/eV per atom): 0.746

***

# Ba4YSn3O12

A geometry-optimized Ba4YSn3O12 structure (PBE, the Alexandria database).

Geometry as POSCAR:
```
Ba4YSn3O12
1.0
-6.901 -2.559 0.492
2.146 -0.057 -7.057
4.501 -4.286 3.973
Y O Ba Sn
1 12 4 3
Direct
0.000 0.000 0.000
0.750 0.500 0.250
0.739 0.739 0.000
0.261 0.000 0.261
0.750 0.250 0.500
0.261 0.261 0.000
0.739 0.000 0.739
0.000 0.261 0.261
0.500 0.250 0.750
0.500 0.750 0.250
0.250 0.750 0.500
0.250 0.500 0.750
0.000 0.739 0.739
0.500 0.000 0.000
0.500 0.500 0.500
0.000 0.000 0.500
0.000 0.500 0.000
0.500 0.500 0.000
0.500 0.000 0.500
0.000 0.500 0.500
```

Output
SG: Im-3m, No. 229
DFT total energy (eV for the cell shown): -132.41
DOS at the Fermi energy (states/eV per atom): 0.633

***

Number 1: E_form (uncorrected) -2.38 eV/atom. Number 2: E_form (uncorrected) -2.34 eV/atom.